Record 1
Rb5Pu2I12 PBE optimized geometry; ΔE_f (raw) = -1.202 eV/atom; calculated volume = 1034 Å³/f.u.; space-group type = C2/m, No. 12; energy = -3.945 eV per atom
1.0
10.338 -4.572 0.000
10.338 4.572 0.000
-4.168 0.000 10.943
Rb Pu I
5 2 12
Cartesian
0.000 0.000 0.000
5.439 0.000 1.328
3.680 0.000 7.492
12.827 0.000 3.451
11.068 0.000 9.615
8.253 2.277 5.471
8.253 -2.277 5.471
-2.518 0.000 7.506
5.326 2.228 4.752
3.456 2.241 10.295
13.051 2.241 0.647
11.181 2.228 6.190
8.796 0.000 3.399
7.710 0.000 7.544
5.326 -2.228 4.752
3.456 -2.241 10.295
13.051 -2.241 0.647
11.181 -2.228 6.190
19.025 0.000 3.437

***

Record 2
K4Rb3ZnH8 PBE optimized geometry; calculated volume = 360 Å³/f.u.; space-group type = C2/m, No. 12; energy = -2.254 eV per atom
1.0
6.987 -3.956 0.000
6.987 3.956 0.000
-4.405 0.000 6.514
K Rb Zn H
4 3 1 8
Cartesian
0.000 0.000 0.000
3.494 1.978 0.000
3.494 -1.978 0.000
6.987 0.000 0.000
-2.203 0.000 3.257
1.291 1.978 3.257
1.291 -1.978 3.257
4.785 0.000 3.257
2.274 0.000 1.436
0.205 0.000 5.008
5.526 1.327 2.140
4.043 1.327 4.374
5.526 -1.327 2.140
4.043 -1.327 4.374
9.364 0.000 1.507
7.295 0.000 5.078

***

Record 3
Ti2InPd7 PBE optimized geometry; calculated volume = 199 Å³/f.u.; formation enthalpy at 0 K = -0.011 eV/atom; space-group type = Cmmm, No. 65; energy = -5.499 eV per atom
1.0
3.603 -6.422 0.000
3.603 6.422 0.000
0.000 0.000 4.300
Ti In Pd
2 1 7
Cartesian
3.603 3.906 0.000
3.603 -3.906 0.000
3.603 0.000 2.150
0.000 0.000 0.000
2.249 1.467 0.000
3.603 2.724 2.150
2.249 -1.467 0.000
4.958 1.467 0.000
3.603 -2.724 2.150
4.958 -1.467 0.000